Density functional theory data (GGA-PBE) for Sm4Y4Tl after structural relaxation.

As for the space group: I4/mmm. The energy of formation from the pure elements is -0.0473 eV per atom. The density of states at the Fermi level is 1.338 states/eV/atom.

Geometry as POSCAR:
```
Sm4Y4Tl
1.0
-5.400 5.400 2.451
5.400 -5.400 2.451
5.400 5.400 -2.451
Sm Y Tl
4 4 1
Direct
0.000 0.336 0.336
0.000 0.664 0.664
0.336 0.000 0.336
0.664 0.000 0.664
0.339 0.339 0.679
0.339 0.661 0.000
0.661 0.339 0.000
0.661 0.661 0.321
0.000 0.000 0.000
```